1.
This record from Alexandria describes a relaxed Er6Mg5Al crystal. The functional is PBE-GGA.

Cell: 8.3287 8.3287 7.4779 Å, 90.00 90.00 143.18°
Atoms (fractional coordinates):
Er  0.0000  0.0000  0.2405
Er  0.0000  0.0000  0.7595
Er  0.3378  0.6622  0.2441
Er  0.3378  0.6622  0.7559
Er  0.6622  0.3378  0.2441
Er  0.6622  0.3378  0.7559
Mg  0.1683  0.8317  0.5000
Mg  0.1706  0.8294  0.0000
Mg  0.5000  0.5000  0.5000
Mg  0.8294  0.1706  0.0000
Mg  0.8317  0.1683  0.5000
Al  0.5000  0.5000  0.0000

raw total energy: -3.391 eV/atom
ΔH_f (0 K): -133 meV/atom
spin magnetization: 0.000 μB/atom
DOS(E_F): 13.374 states/eV per cell

***

2.
This record from Alexandria describes a relaxed OsRhAu2 crystal. The functional is PBE-GGA.

Cell: 2.8001 3.7745 6.1709 Å, 90.00 90.00 90.00°
Atoms (fractional coordinates):
Os  0.0000  0.0000  0.0000
Rh  0.5000  0.5000  0.1857
Au  0.0000  0.0000  0.4581
Au  0.5000  0.5000  0.7270

raw total energy: -5.960 eV/atom
ΔH_f (0 K): 324 meV/atom
energy above the lowest structure with this stoichiometry: 0.109 eV per atom
spin magnetization: 0.000 μB/atom
DOS(E_F): 3.031 states/eV per cell

***

3.
This record from Alexandria describes a relaxed MgVSeN2 crystal. The functional is PBE-GGA.

Cell: 3.8494 3.8494 5.0859 Å, 90.00 90.00 90.00°
Atoms (fractional coordinates):
Mg  0.0000  0.0000  0.0000
V  0.5000  0.5000  0.5000
Se  0.0000  0.0000  0.5000
N  0.0000  0.5000  0.0000
N  0.5000  0.0000  0.0000

raw total energy: -4.804 eV/atom
energy above the lowest structure with this stoichiometry: 1.504 eV per atom
formation energy without anion corrections: 658.7 kJ/mol of formula units
spin magnetization: 0.152 μB/atom
DOS(E_F): 7.971 states/eV per cell

***

4.
This record from Alexandria describes a relaxed Co2NiHg crystal. The functional is PBE-GGA.

Cell: 2.7238 3.4814 5.7574 Å, 90.00 90.23 90.00°
Atoms (fractional coordinates):
Co  0.9998  0.0000  0.2007
Co  0.0002  0.0000  0.7993
Ni  0.5000  0.5000  0.0000
Hg  0.5000  0.5000  0.5000

raw total energy: -4.745 eV/atom
ΔH_f (0 K): 329 meV/atom
spin magnetization: 0.969 μB/atom
DOS(E_F): 5.521 states/eV per cell

***

5.
This record from Alexandria describes a relaxed AgRuAu2 crystal. The functional is PBE-GGA.

Cell: 9.6698 2.7992 5.0542 Å, 90.00 98.55 90.00°
Atoms (fractional coordinates):
Ag  0.0000  0.0000  0.0000
Ag  0.5000  0.5000  0.0000
Ru  0.2475  0.5000  0.2654
Ru  0.7475  0.0000  0.2654
Au  0.2464  0.0000  0.7635
Au  0.4914  0.0000  0.4871
Au  0.7464  0.5000  0.7635
Au  0.9914  0.5000  0.4871

raw total energy: -4.351 eV/atom
ΔH_f (0 K): 319 meV/atom
energy above the lowest structure with this stoichiometry: 0.071 eV per atom
spin magnetization: 0.249 μB/atom
DOS(E_F): 7.389 states/eV per cell

***

6.
This record from Alexandria describes a relaxed RbY2Pb crystal. The functional is PBE-GGA.

Cell: 6.4600 6.4600 21.0394 Å, 90.00 90.00 90.00°
Atoms (fractional coordinates):
Rb  0.0000  0.2500  0.3750
Rb  0.0000  0.7500  0.6250
Rb  0.5000  0.2500  0.1250
Rb  0.5000  0.7500  0.8750
Y  0.0000  0.0000  0.0000
Y  0.0000  0.5000  0.0000
Y  0.2500  0.2500  0.7500
Y  0.2500  0.7500  0.2500
Y  0.5000  0.0000  0.5000
Y  0.5000  0.5000  0.5000
Y  0.7500  0.2500  0.7500
Y  0.7500  0.7500  0.2500
Pb  0.0000  0.2500  0.8750
Pb  0.0000  0.7500  0.1250
Pb  0.5000  0.2500  0.6250
Pb  0.5000  0.7500  0.3750

raw total energy: -3.891 eV/atom
ΔH_f (0 K): 511 meV/atom
spin magnetization: 0.245 μB/atom
DOS(E_F): 18.525 states/eV per cell